No. 1
First-principles (PBE-GGA) data for a relaxed structure of TiPdPt2, as listed in the Alexandria database. Values from VASP.

## Properties
D(E_F), states/eV/atom: 0.294
E_form, meV/atom: -403
Crystal system: tetragonal
Density, g/cm3: 13.3
Symmetry: I-42d
DFT total energy, eV per cell: -53.56

```
&SYSTEM
  ibrav = 0, nat = 8, ntyp = 3
/
ATOMIC_SPECIES
Pt 195.08 Pt.upf
Ti 47.87 Ti.upf
Pd 106.42 Pd.upf
CELL_PARAMETERS angstrom
7.0989 0.0000 0.0000
0.0000 7.0989 0.0000
3.5495 3.5495 2.6910
ATOMIC_POSITIONS crystal
Pt 0.8750 0.8487 0.7500
Pt 0.3750 0.4013 0.7500
Pt 0.5987 0.1250 0.2500
Pt 0.1513 0.6250 0.2500
Ti 0.2500 0.7500 0.5000
Ti 0.5000 0.5000 0.0000
Pd 0.7500 0.2500 0.5000
Pd 0.0000 0.0000 0.0000
```

***

No. 2
First-principles (PBE-GGA) data for a relaxed structure of HgMoSe2, as listed in the Alexandria database. Values from VASP.

## Properties
D(E_F), states/eV/atom: 0.480
Formation energy (no corrections), kJ per mole of atoms: -18.8
Crystal system: orthorhombic
Density, g/cm3: 7.6
Symmetry: Imm2
DFT total energy, eV per cell: -18.88

```
&SYSTEM
  ibrav = 0, nat = 4, ntyp = 3
/
ATOMIC_SPECIES
Se 78.96 Se.upf
Mo 95.94 Mo.upf
Hg 200.59 Hg.upf
CELL_PARAMETERS angstrom
-5.5671 7.3388 -3.2743
-7.4012 3.6440 -5.2454
5.1172 -5.6928 6.0809
ATOMIC_POSITIONS crystal
Se 0.2356 0.7356 0.5000
Se 0.9025 0.9025 0.0000
Mo 0.8033 0.3033 0.5000
Hg 0.5586 0.5586 0.0000
```

***

Q: Among the records above, which one has the highest density?
A: TiPdPt2

***

Please write out number 1 again, unchanged.
First-principles (PBE-GGA) data for a relaxed structure of TiPdPt2, as listed in the Alexandria database. Values from VASP.

## Properties
D(E_F), states/eV/atom: 0.294
E_form, meV/atom: -403
Crystal system: tetragonal
Density, g/cm3: 13.3
Symmetry: I-42d
DFT total energy, eV per cell: -53.56

```
&SYSTEM
  ibrav = 0, nat = 8, ntyp = 3
/
ATOMIC_SPECIES
Pt 195.08 Pt.upf
Ti 47.87 Ti.upf
Pd 106.42 Pd.upf
CELL_PARAMETERS angstrom
7.0989 0.0000 0.0000
0.0000 7.0989 0.0000
3.5495 3.5495 2.6910
ATOMIC_POSITIONS crystal
Pt 0.8750 0.8487 0.7500
Pt 0.3750 0.4013 0.7500
Pt 0.5987 0.1250 0.2500
Pt 0.1513 0.6250 0.2500
Ti 0.2500 0.7500 0.5000
Ti 0.5000 0.5000 0.0000
Pd 0.7500 0.2500 0.5000
Pd 0.0000 0.0000 0.0000
```